The following is a GGA+U calculation of an optimized crystal structure of Li2NbWO6, from the Alexandria database.

abc: 5.6437 5.6437 4.0587
angles: 90.00 90.00 90.00
Atoms (fractional coordinates):
Li 0.0000 0.5000 0.0000
Li 0.5000 0.0000 0.0000
Nb 0.0000 0.0000 0.7799
W 0.5000 0.5000 0.7751
O 0.0000 0.0000 0.3328
O 0.2504 0.2504 0.8529
O 0.2504 0.7496 0.8529
O 0.5000 0.5000 0.3254
O 0.7496 0.2504 0.8529
O 0.7496 0.7496 0.8529

Values from the calculation:
total magnetic moment: 1.0 μB/f.u.
E: -73.06 eV per cell
SG: No. 99